A plane-wave DFT calculation with PBE-GGA was carried out for an optimized crystal structure of Ba2Zn3Ga4Sn.

Calculated values
**Calculated volume**: 237.0 Å³ per cell
**DOS at the Fermi energy**: 0.4957 states/eV per atom
**Crystal system**: tetragonal
**ΔH_f (0 K)**: -0.362 eV/atom
**Electronic total energy**: -2.740 eV/atom
**Space-group type**: No. 115

Cell lengths 4.5988, 4.5988, 11.2070 Å; angles 90.00, 90.00, 90.00 degrees
With the nearest neighbours (Å) after each atom.
Atoms (fractional coordinates):
Ba 0.0000 0.5000 0.2436  8 Ga 3.49-3.57, 6 Zn 3.53-3.68, 2 Sn 3.68
Ba 0.5000 0.0000 0.7564  8 Ga 3.49-3.57, 6 Zn 3.53-3.68, 2 Sn 3.68
Zn 0.0000 0.5000 0.8779  5 Ga 2.62-2.68
Zn 0.5000 0.0000 0.1221  5 Ga 2.62-2.68
Zn 0.5000 0.5000 0.5000  4 Ga 2.81
Ga 0.0000 0.0000 0.0000  4 Zn 2.68
Ga 0.0000 0.5000 0.6442  3 Zn 2.62-2.81, 2 Sn 2.81
Ga 0.5000 0.0000 0.3558  3 Zn 2.62-2.81, 2 Sn 2.81
Ga 0.5000 0.5000 0.0000  4 Zn 2.68
Sn 0.0000 0.0000 0.5000  4 Ga 2.81



A plane-wave DFT calculation with PBE-GGA was carried out for an optimized crystal structure of Ba4TcOs.

Calculated values
**Calculated volume**: 211.1 Å³ per cell
**DOS at the Fermi energy**: 1.4724 states/eV per atom
**Crystal system**: cubic
**ΔH_f (0 K)**: 1.762 eV/atom
**Electronic total energy**: -3.119 eV/atom
**Space-group type**: No. 216

Cell lengths 6.6832, 6.6832, 6.6832 Å; angles 60.00, 60.00, 60.00 degrees
With the nearest neighbours (Å) after each atom.
Atoms (fractional coordinates):
Ba 0.1246 0.1246 0.1246  6 Ba 3.33-3.35
Ba 0.1246 0.1246 0.6262  6 Ba 3.33-3.35
Ba 0.1246 0.6262 0.1246  6 Ba 3.33-3.35
Ba 0.6262 0.1246 0.1246  6 Ba 3.33-3.35
Tc 0.5000 0.5000 0.5000  12 Ba 3.92, 4 Os 4.09
Os 0.7500 0.7500 0.7500  12 Ba 3.92, 4 Tc 4.09